# BeCrAs2O6 PBE with a Hubbard U optimized geometry
# calculated total energy = -6.537 eV per atom
data_BeCrAs2O6
_cell_length_a 11.9746
_cell_length_b 8.0409
_cell_length_c 5.0701
_cell_angle_alpha 90.00
_cell_angle_beta 107.22
_cell_angle_gamma 90.00
_space_group_name_H-M_alt 'C 1 2/c 1'
_space_group_IT_number 15
_space_group_name_Hall '-C 2yc'
loop_
_atom_site_label
_atom_site_type_symbol
_atom_site_fract_x
_atom_site_fract_y
_atom_site_fract_z
Be1 Be 0.0000 0.2122 0.2500
Cr1 Cr 0.0000 0.1114 0.7500
As1 As 0.2169 0.3686 0.6734
O1 O 0.0661 0.2954 0.5516
O2 O 0.0878 0.0839 0.1491
O3 O 0.2006 0.4262 0.0106